i:
Compound: YAl2Br
Source: Alexandria
Functional: PBE-GGA
Structure: relaxed

Structure (POSCAR):
```
YAl2Br
1.0
-0.7134 -1.8921 -4.8386
4.5037 -2.5944 -0.6981
-3.2868 -0.5182 4.0534
Y Al Br
1 2 1
Cartesian
-1.0525 -2.3268 -1.7768
0.0000 0.0000 0.0000
1.5560 -2.6780 0.2935
1.8952 -2.2433 -2.7684
```

Results
- symmetry = I-4m2

ii:
Compound: YAl2Br
Source: Alexandria
Functional: PBE-GGA
Structure: relaxed

Structure (POSCAR):
```
YAl2Br
1.0
5.1128 0.0000 0.0000
0.0000 3.5489 0.0352
0.0000 3.4395 5.5011
Y Al Br
1 2 1
Cartesian
2.5564 5.2413 4.1522
0.0000 3.4467 5.4491
0.0000 3.4869 2.8202
2.5564 1.7471 1.3841
```

Results
- symmetry = P2/m

Least stable: i

i:
Compound: YAl2Br
Source: Alexandria
Functional: PBE-GGA
Structure: relaxed

Structure (POSCAR):
```
YAl2Br
1.0
-5.8019 3.8561 4.7752
-1.1546 -7.1394 4.3623
-1.4519 -0.8538 6.3946
Y Al Br
2 4 2
Cartesian
0.0000 0.0000 0.0000
-5.3660 0.6803 7.8693
-4.1203 1.2954 5.1176
-1.8230 -4.1848 4.9328
-3.7002 -1.8877 8.2324
-7.1732 -3.4970 12.7814
-3.4782 -1.6416 4.5688
-3.0424 -4.8174 7.6628
```

Results
- symmetry = I-42d

ii:
Compound: YAl2Br
Source: Alexandria
Functional: PBE-GGA
Structure: relaxed

Structure (POSCAR):
```
YAl2Br
1.0
5.2241 0.0000 0.0000
0.0000 5.2241 0.0000
0.0000 0.0000 3.5117
Y Al Br
1 2 1
Cartesian
0.0000 2.6120 1.7558
0.0000 0.0000 0.0000
2.6120 2.6120 0.0000
2.6120 0.0000 1.7558
```

Results
- symmetry = P4/mmm

iii:
Compound: YAl2Br
Source: Alexandria
Functional: PBE-GGA
Structure: relaxed

Structure (POSCAR):
```
YAl2Br
1.0
0.5283 -5.0758 -1.0554
-0.9260 -3.5424 3.7081
-4.2141 -3.0503 -0.3047
Y Al Br
1 2 1
Cartesian
-2.3059 -5.8343 1.1740
-1.1530 -2.9171 0.5870
-3.4589 -8.7514 1.7610
0.0000 0.0000 0.0000
```

Results
- symmetry = Fm-3m

Least stable: iii

i:
Compound: YAl2Br
Source: Alexandria
Functional: PBE-GGA
Structure: relaxed

Structure (POSCAR):
```
YAl2Br
1.0
-0.4730 0.1618 -3.9924
-0.1550 -3.5036 -0.1236
-7.9240 -1.4508 0.8800
Y Al Br
1 2 1
Cartesian
-6.4339 -4.2891 -1.4391
-0.6687 -2.8232 -0.0352
-0.9149 -0.9873 -1.9591
-4.7291 -2.6738 0.4519
```

Results
- symmetry = Pm

ii:
Compound: YAl2Br
Source: Alexandria
Functional: PBE-GGA
Structure: relaxed

Structure (POSCAR):
```
YAl2Br
1.0
6.0952 0.0082 0.0000
3.3609 5.0848 0.0000
-4.7280 -2.5465 2.8831
Y Al Br
1 2 1
Cartesian
3.0476 0.0041 1.4415
0.0000 0.0000 0.0000
4.7280 2.5465 0.0000
1.6804 2.5424 1.4415
```

Results
- symmetry = I4/mmm

iii:
Compound: YAl2Br
Source: Alexandria
Functional: PBE-GGA
Structure: relaxed

Structure (POSCAR):
```
YAl2Br
1.0
5.8991 0.0000 0.0000
0.0000 3.9734 0.0000
0.0000 0.0000 3.9734
Y Al Br
1 2 1
Cartesian
2.9495 0.0000 1.9867
0.0000 0.0000 0.0000
0.0000 1.9867 1.9867
2.9495 1.9867 0.0000
```

Results
- symmetry = P4/mmm

Least stable: iii

i:
Compound: YAl2Br
Source: Alexandria
Functional: PBE-GGA
Structure: relaxed

Structure (POSCAR):
```
YAl2Br
1.0
-3.6045 -0.3666 4.1867
1.1777 -4.7211 -2.6419
2.5435 -0.5633 2.1404
Y Al Br
1 2 1
Cartesian
1.8606 -2.6422 -0.2507
0.0000 0.0000 0.0000
-1.2134 -2.5438 0.7724
-0.5305 -0.4649 3.1636
```

Results
- symmetry = Cmmm

ii:
Compound: YAl2Br
Source: Alexandria
Functional: PBE-GGA
Structure: relaxed

Structure (POSCAR):
```
YAl2Br
1.0
6.2024 0.0298 -0.0919
5.2574 3.2910 -0.0919
0.5810 0.1684 4.6122
Y Al Br
1 2 1
Cartesian
9.0306 2.6169 3.3213
0.7131 0.2067 4.5162
5.8882 1.7063 2.3102
3.0102 0.8723 1.1071
```

Results
- symmetry = C2/m

Least stable: i

i:
Compound: YAl2Br
Source: Alexandria
Functional: PBE-GGA
Structure: relaxed

Structure (POSCAR):
```
YAl2Br
1.0
-2.6559 -3.0050 4.2944
-2.0201 -5.1721 -1.9221
4.7850 3.2887 0.8802
Y Al Br
1 2 1
Cartesian
0.2175 -2.9787 0.0700
-4.6130 -8.0668 2.3403
-0.1899 -2.0519 3.2237
-2.3197 -4.0565 1.1768
```

Results
- symmetry = C2

ii:
Compound: YAl2Br
Source: Alexandria
Functional: PBE-GGA
Structure: relaxed

Structure (POSCAR):
```
YAl2Br
1.0
9.4469 0.0044 0.0026
8.8190 3.3865 0.0026
8.8190 1.6371 2.9644
Y Al Br
1 2 1
Cartesian
20.3137 3.7710 2.2272
26.9646 5.0057 2.9564
13.6628 2.5363 1.4980
6.7712 1.2570 0.7424
```

Results
- symmetry = R-3m

Least stable: ii

i:
Compound: YAl2Br
Source: Alexandria
Functional: PBE-GGA
Structure: relaxed

Structure (POSCAR):
```
YAl2Br
1.0
5.3218 -0.0136 0.0540
4.2215 3.2406 0.0540
1.7212 0.5820 5.4463
Y Al Br
1 2 1
Cartesian
8.2715 2.7970 3.8526
9.6489 3.2627 0.4718
2.9160 0.9860 1.0629
5.6037 1.8949 3.0523
```

Results
- symmetry = Cm

ii:
Compound: YAl2Br
Source: Alexandria
Functional: PBE-GGA
Structure: relaxed

Structure (POSCAR):
```
YAl2Br
1.0
9.0832 -0.0968 -0.0574
8.3420 3.5953 -0.0574
8.3420 1.6748 3.1818
Y Al Br
1 2 1
Cartesian
19.2048 3.8558 2.2860
25.7109 5.1620 3.0604
7.0046 1.4063 0.8338
12.4976 2.5092 1.4876
```

Results
- symmetry = R3m

Least stable: i

i:
Compound: Y2AlBr
Source: Alexandria
Functional: PBE-GGA
Structure: relaxed

Structure (POSCAR):
```
Y2AlBr
1.0
6.4014 0.0007 0.0000
3.5195 5.3470 0.0000
-4.9604 -2.6738 3.0368
Y Al Br
2 1 1
Cartesian
0.0000 0.0000 0.0000
1.7597 2.6735 1.5184
4.9604 2.6738 0.0000
3.2007 0.0003 1.5184
```

Results
- symmetry = I-4m2

ii:
Compound: Y2AlBr
Source: Alexandria
Functional: PBE-GGA
Structure: relaxed

Structure (POSCAR):
```
Y2AlBr
1.0
-1.9542 3.5020 -3.0471
-1.9244 -2.5020 -1.6414
-5.2208 -0.4053 2.8829
Y Al Br
2 1 1
Cartesian
-3.7000 0.5763 -4.2519
-3.7893 0.4775 -0.1410
-6.7900 -0.3673 0.8090
-5.8587 1.0030 -2.3715
```

Results
- symmetry = Amm2

iii:
Compound: Y2AlBr
Source: Alexandria
Functional: PBE-GGA
Structure: relaxed

Structure (POSCAR):
```
Y2AlBr
1.0
-3.3561 -1.4394 -0.4769
-0.3770 -3.3171 -1.5549
-0.7546 -5.3464 7.2268
Y Al Br
2 1 1
Cartesian
-0.8731 -4.4362 5.3140
-1.1270 -2.4870 1.2173
-3.2444 -8.5097 5.8561
-2.2418 -5.0677 2.6317
```

Results
- symmetry = R3m

iv:
Compound: Y2AlBr
Source: Alexandria
Functional: PBE-GGA
Structure: relaxed

Structure (POSCAR):
```
Y2AlBr
1.0
3.5128 0.0000 0.0000
0.0000 3.5128 0.0000
0.0000 0.0000 10.1072
Y Al Br
2 1 1
Cartesian
0.0000 0.0000 10.0134
1.7564 1.7564 2.6280
0.0000 0.0000 4.3807
1.7564 1.7564 8.2459
```

Results
- symmetry = P4mm

Least stable: i

i:
Compound: Y2AlBr
Source: Alexandria
Functional: PBE-GGA
Structure: relaxed

Structure (POSCAR):
```
Y2AlBr
1.0
-1.5062 2.4097 -3.1902
-3.8364 1.8707 -0.1881
1.2683 7.2396 2.2842
Y Al Br
2 1 1
Cartesian
-4.0987 11.3459 -1.1443
-2.0128 5.9340 -0.4969
-3.0558 8.6400 -0.8206
-1.0186 2.8800 -0.2735
```

Results
- symmetry = C2/m

ii:
Compound: Y2AlBr
Source: Alexandria
Functional: PBE-GGA
Structure: relaxed

Structure (POSCAR):
```
Y2AlBr
1.0
8.1485 0.2640 -0.1739
6.2922 5.1842 0.1739
-7.1251 -2.9766 2.6212
Y Al Br
2 1 1
Cartesian
0.6594 0.2488 0.0000
4.8665 0.2867 1.2236
6.4533 2.4347 0.0000
2.5567 2.2255 1.3976
```

Results
- symmetry = Imm2

iii:
Compound: Y2AlBr
Source: Alexandria
Functional: PBE-GGA
Structure: relaxed

Structure (POSCAR):
```
Y2AlBr
1.0
-3.9751 -2.6523 -2.1933
-4.1239 2.5989 -1.9712
-0.7401 0.1990 -5.2019
Y Al Br
2 1 1
Cartesian
-2.2098 0.0364 -2.3416
-6.6293 0.1093 -7.0248
0.0000 0.0000 0.0000
-4.4196 0.0728 -4.6832
```

Results
- symmetry = Fm-3m

Least stable: iii

i:
Compound: Y2AlBr
Source: Alexandria
Functional: PBE-GGA
Structure: relaxed

Structure (POSCAR):
```
Y2AlBr
1.0
5.2772 0.0000 0.0000
2.6386 4.5702 0.0000
2.6386 1.5234 4.3088
Y Al Br
2 1 1
Cartesian
0.0000 0.0000 0.0000
2.6386 1.5234 1.0772
5.2772 3.0468 2.1544
7.9158 4.5702 3.2316
```

Results
- symmetry = F-43m

ii:
Compound: Y2AlBr
Source: Alexandria
Functional: PBE-GGA
Structure: relaxed

Structure (POSCAR):
```
Y2AlBr
1.0
3.5378 0.0000 0.0000
0.0000 3.5876 -0.0114
0.0000 0.0280 8.4873
Y Al Br
2 1 1
Cartesian
0.0000 2.6920 0.2924
0.0000 2.7034 3.9342
1.7689 0.9039 2.1190
1.7689 2.7117 6.3570
```

Results
- symmetry = Pmmm

iii:
Compound: Y2AlBr
Source: Alexandria
Functional: PBE-GGA
Structure: relaxed

Structure (POSCAR):
```
Y2AlBr
1.0
-4.5580 4.0205 -0.0406
-0.2301 -0.3221 -6.0650
-7.4206 -3.8444 -2.5597
Y Al Br
4 2 2
Cartesian
-4.6934 1.4768 -1.4231
-2.6080 -0.6253 -4.4360
-7.3630 -1.4992 -4.2615
-9.7531 0.3555 -7.2100
-2.3941 1.8492 -3.0528
-5.0224 -1.1587 -5.8387
0.0000 0.0000 0.0000
-7.1863 1.0126 -2.8265
```

Results
- symmetry = I-42d

iv:
Compound: Y2AlBr
Source: Alexandria
Functional: PBE-GGA
Structure: relaxed

Structure (POSCAR):
```
Y2AlBr
1.0
3.6899 0.0000 0.0000
0.0000 6.0900 0.0000
0.0000 0.0000 4.8216
Y Al Br
2 1 1
Cartesian
0.0000 0.0000 0.0000
1.8450 3.0450 0.0000
1.8450 0.0000 2.4108
0.0000 3.0450 2.4108
```

Results
- symmetry = Pmmm

Least stable: i

i:
Compound: AlZnBr2
Source: Alexandria
Functional: PBE-GGA
Structure: relaxed

Structure (POSCAR):
```
AlZnBr2
1.0
-2.4543 -1.8590 -2.3622
1.5539 -1.4478 3.2478
-7.9933 3.6349 5.4446
Zn Al Br
1 1 2
Cartesian
-2.4485 -0.7447 1.8040
-6.4452 1.0728 4.5263
-7.4472 3.3865 5.0727
-4.5427 2.0657 3.0943
```

Results
- symmetry = Cmmm

ii:
Compound: AlZnBr2
Source: Alexandria
Functional: PBE-GGA
Structure: relaxed

Structure (POSCAR):
```
AlZnBr2
1.0
-2.6838 -3.2226 -0.5596
5.4235 -3.9263 -3.4005
4.6597 -4.0145 0.7708
Zn Al Br
1 1 2
Cartesian
3.6997 -5.5817 -1.5947
2.3298 -2.0073 0.3854
0.0000 0.0000 0.0000
1.3698 -3.5744 -1.9801
```

Results
- symmetry = Pmmm

iii:
Compound: AlZnBr2
Source: Alexandria
Functional: PBE-GGA
Structure: relaxed

Structure (POSCAR):
```
AlZnBr2
1.0
-4.5159 3.1162 5.3700
-6.0609 -3.6529 -2.9771
-4.6284 -3.2042 3.4551
Zn Al Br
2 2 4
Cartesian
0.0000 0.0000 0.0000
-7.2164 -0.1782 5.0108
-5.2884 -0.2684 1.1965
-7.9888 -3.5627 0.8372
-4.8000 0.7333 3.9226
-5.4468 -2.7379 -0.4003
-7.3533 -2.5536 3.5301
-12.8103 -2.9236 4.6437
```

Results
- symmetry = I-42d

Least stable: iii